1.
Material: AcTm2Cu2Ge2
Method: DFT, PBE
State: optimized geometry

## Properties
electronic total energy	-4.832	eV per atom
energy of formation from the pure elements	-0.4777	eV/atom

abc: 9.769 9.769 9.769
angles: 25.90 25.90 25.90
Positions (direct):
Ac 0.000 0.000 0.000
Tm 0.130 0.130 0.130
Tm 0.870 0.870 0.870
Cu 0.415 0.415 0.415
Cu 0.585 0.585 0.585
Ge 0.253 0.253 0.253
Ge 0.747 0.747 0.747



2.
Material: Cd3HgPb12
Method: DFT, PBE
State: optimized geometry

## Properties
electronic total energy	-2.943	eV per atom
energy of formation from the pure elements	0.0284	eV/atom

abc: 4.896 4.896 19.875
angles: 90.00 90.00 90.00
Positions (direct):
Cd 0.000 0.000 0.000
Cd 0.000 0.000 0.250
Cd 0.000 0.000 0.750
Hg 0.000 0.000 0.500
Pb 0.000 0.500 0.125
Pb 0.000 0.500 0.374
Pb 0.000 0.500 0.626
Pb 0.000 0.500 0.875
Pb 0.500 0.000 0.125
Pb 0.500 0.000 0.374
Pb 0.500 0.000 0.626
Pb 0.500 0.000 0.875
Pb 0.500 0.500 0.000
Pb 0.500 0.500 0.250
Pb 0.500 0.500 0.500
Pb 0.500 0.500 0.750



Calculated values (μB/atom) of total magnetic moment for the records, taken in order: 0.000 0.000.